A plane-wave DFT calculation with GGA-PBE was carried out for crystalline NdTmAgRu at its relaxed geometry.

```
data_NdTmAgRu
_space_group_name_H-M_alt 'P 1'
_space_group_IT_number 1
_cell_length_a 5.014
_cell_length_b 5.014
_cell_length_c 5.014
_cell_angle_alpha 60.00
_cell_angle_beta 60.00
_cell_angle_gamma 60.00
loop_
_space_group_symop_operation_xyz
'x,y,z'
loop_
_atom_site_label
_atom_site_type_symbol
_atom_site_fract_x
_atom_site_fract_y
_atom_site_fract_z
_atom_site_occupancy
Nd1 Nd 0.000 0.000 0.000 1
Tm1 Tm 0.500 0.500 0.500 1
Ag1 Ag 0.250 0.250 0.250 1
Ru1 Ru 0.750 0.750 0.750 1
```

Summary:
Energy of formation from the pure elements: -0.28 eV per atom
Total magnetic moment: 0.0 μB per formula unit
Excess energy over the best structure of this formula in the dataset: 77 meV per atom